Entry 1:
The following is a PBE-GGA calculation of a geometry-optimized BeNi2Os structure, from Alexandria.

**Mass density**: 11.6 g/cm3
**Volume**: 11.30 A^3/atom
**Calculated formation energy**: -11 meV/atom

The structure in POSCAR format:
```
BeNi2Os
1.0
2.5515 0.0000 0.0000
0.0000 3.6571 0.0000
0.0000 0.0000 4.8448
Ni Os Be
2 1 1
Cartesian
0.0000 0.0000 4.8108
0.0000 0.0000 2.4564
1.2758 1.8286 1.2112
1.2758 1.8286 3.6336
```

=====

Entry 2:
The following is a PBE-GGA calculation of a geometry-optimized Th3InHg5 structure, from Alexandria.

**Mass density**: 12.5 g/cm3
**Distance to the lowest polymorph of the same formula**: 0 meV/atom
**Volume**: 26.72 A^3/atom
**Calculated formation energy**: -245 meV/atom

The structure in POSCAR format:
```
Th3InHg5
1.0
6.5726 0.0000 0.0000
0.0000 7.9610 -4.5963
0.0000 0.0003 9.1929
Th In Hg
6 2 10
Cartesian
4.9295 2.6989 1.5585
4.9295 7.9610 1.4800
4.9295 5.2618 -3.0380
1.6432 5.2623 3.0381
1.6432 0.0002 3.1166
1.6432 2.6991 -1.5584
0.0000 0.0000 0.0000
3.2863 0.0000 0.0000
0.0000 5.3074 0.0000
3.2863 2.6538 4.5965
0.0000 2.6538 4.5965
3.2863 5.3074 0.0000
4.9295 5.3449 3.0862
4.9295 7.9608 -1.5753
4.9295 2.6158 -1.5103
1.6432 2.6163 1.5104
1.6432 0.0004 6.1719
1.6432 5.3451 -3.0861
```

=====

Entry 3:
The following is a PBE-GGA calculation of a geometry-optimized MnCu2Pt structure, from Alexandria.

**Mass density**: 11.5 g/cm3
**Volume**: 13.59 A^3/atom
**Calculated formation energy**: 20 meV/atom

The structure in POSCAR format:
```
MnCu2Pt
1.0
8.6456 -0.0522 -0.0306
8.2349 2.6338 -0.0306
8.2349 1.2594 2.3134
Cu Mn Pt
2 1 1
Cartesian
25.0552 3.8318 2.2468
12.6179 1.9297 1.1315
6.2788 0.9602 0.5630
18.8365 2.8807 1.6891
```

=====

Entry 4:
The following is a PBE-GGA calculation of a geometry-optimized K2AlFe structure, from Alexandria.

**Mass density**: 2.3 g/cm3
**Volume**: 28.57 A^3/atom
**Calculated formation energy**: 889 meV/atom

The structure in POSCAR format:
```
K2AlFe
1.0
-5.4224 -0.1764 -0.4492
-0.2695 -2.8259 4.6441
2.5746 4.7953 -0.1092
K Fe Al
2 1 1
Cartesian
2.3050 1.9694 4.5348
-0.2705 0.2342 3.3162
-2.8468 1.5590 0.7696
-0.2715 3.2941 1.9881
```

=====

Entry 5:
The following is a PBE-GGA calculation of a geometry-optimized CsSr2LaBr8 structure, from Alexandria.

**Mass density**: 3.5 g/cm3
**Volume**: 42.36 A^3/atom
**Energy relative to the elements, uncorrected**: -1.993 eV/atom

The structure in POSCAR format:
```
CsSr2LaBr8
1.0
7.3149 -0.0089 -0.0032
0.0424 7.1245 -0.0048
0.0086 0.0150 9.7546
Cs Sr La Br
1 2 1 8
Cartesian
0.0043 0.0075 4.8773
3.6855 3.5690 7.2950
3.6804 3.5616 2.4516
0.0000 0.0000 0.0000
1.2123 5.3676 2.0290
4.9412 5.2819 9.7476
6.1443 1.7506 2.0276
6.1536 1.7630 7.7176
2.4247 1.8487 -0.0010
1.2215 5.3800 7.7190
4.4627 5.2256 4.8698
2.9032 1.9050 4.8769
```

=====

Entry 6:
The following is a PBE-GGA calculation of a geometry-optimized NaSn4Pd5 structure, from Alexandria.

**Mass density**: 8.2 g/cm3
**Volume**: 20.83 A^3/atom
**Calculated formation energy**: -371 meV/atom

The structure in POSCAR format:
```
NaSn4Pd5
1.0
-3.1058 -2.2965 2.9356
-0.6520 -7.7710 -6.7690
6.3659 -3.8066 3.7570
Na Sn Pd
2 8 10
Cartesian
-1.8380 -1.3591 1.7373
1.5892 -6.7262 -0.3077
1.3499 -4.9280 5.5274
-1.2860 -6.3255 -4.2302
-0.9765 -2.6363 -1.0166
-1.1464 -3.4353 4.0542
0.8976 -4.6500 -2.6247
0.3852 -9.5308 -1.1093
0.7276 -5.4491 2.4462
4.7672 -6.9639 -0.3410
2.9851 -9.0565 -1.9362
3.3302 -4.9432 1.6468
-1.9189 -5.0634 -1.8789
0.8415 -7.7747 -3.2012
1.1866 -3.6614 0.3817
-1.7423 -8.0816 -2.1383
-1.4354 -4.4239 1.0478
1.6701 -3.0220 3.3084
2.7868 -6.9487 3.5397
2.4800 -10.6064 0.3536
```

=====

Entry 7:
The following is a PBE-GGA calculation of a geometry-optimized Nb2IO structure, from Alexandria.

**Mass density**: 8.2 g/cm3
**Distance to the lowest polymorph of the same formula**: 571 meV/atom
**Volume**: 16.57 A^3/atom
**Energy relative to the elements, uncorrected**: 0.300 eV/atom

The structure in POSCAR format:
```
Nb2IO
1.0
0.0000 3.2124 3.2124
3.2124 0.0000 3.2124
3.2124 3.2124 0.0000
I Nb O
1 2 1
Cartesian
3.2124 3.2124 3.2124
1.6062 1.6062 1.6062
4.8186 4.8186 4.8186
0.0000 0.0000 0.0000
```

=====

Entry 8:
The following is a PBE-GGA calculation of a geometry-optimized Si3NiIr3 structure, from Alexandria.

**Mass density**: 11.8 g/cm3
**Volume**: 14.47 A^3/atom
**Energy relative to the elements, uncorrected**: -0.414 eV/atom

The structure in POSCAR format:
```
Si3NiIr3
1.0
2.8210 0.0000 0.0000
0.0000 10.1337 0.0000
0.0000 0.0000 14.1770
Si Ni Ir
12 4 12
Cartesian
2.1158 8.9480 12.7939
0.7053 6.2525 5.7054
0.7053 1.1856 1.3831
2.1158 3.8812 8.4716
2.1158 9.2313 5.5390
0.7053 5.9692 12.6275
0.7053 0.9023 8.6379
2.1158 4.1645 1.5494
2.1158 7.6492 2.0680
0.7053 7.5513 9.1565
0.7053 2.4845 12.1090
2.1158 2.5823 5.0205
2.1158 10.0636 2.8917
0.7053 5.1369 9.9802
0.7053 0.0701 11.2853
2.1158 4.9968 4.1968
2.1158 7.3013 11.1503
0.7053 7.8992 4.0618
0.7053 2.8324 3.0267
2.1158 2.2344 10.1152
2.1158 1.1228 13.5665
0.7053 3.9440 6.4780
0.7053 9.0109 0.6105
2.1158 6.1896 7.6990
2.1158 9.1448 7.9710
0.7053 6.0557 0.8825
0.7053 0.9889 6.2060
2.1158 4.0779 13.2945
```

=====

Entry 9:
The following is a PBE-GGA calculation of a geometry-optimized LaEuGa structure, from Alexandria.

**Mass density**: 5.9 g/cm3
**Distance to the lowest polymorph of the same formula**: 88 meV/atom
**Volume**: 33.89 A^3/atom
**Calculated formation energy**: -241 meV/atom

The structure in POSCAR format:
```
LaEuGa
1.0
5.2388 0.0000 0.0000
2.6194 4.5369 0.0000
2.6194 1.5123 4.2774
Eu Ga La
1 1 1
Cartesian
0.0000 0.0000 0.0000
2.6194 1.5123 1.0694
5.2388 3.0246 2.1387
```

=====

Entry 10:
The following is a PBE-GGA calculation of a geometry-optimized Ac2HoAl4Zn3 structure, from Alexandria.

**Mass density**: 6.5 g/cm3
**Volume**: 23.62 A^3/atom
**Calculated formation energy**: -309 meV/atom

The structure in POSCAR format:
```
Ac2HoAl4Zn3
1.0
4.5076 0.0000 0.0000
0.0000 4.5076 0.0000
0.0000 0.0000 11.6244
Ac Ho Al Zn
2 1 4 3
Cartesian
2.2538 0.0000 2.6922
0.0000 2.2538 8.9321
2.2538 2.2538 5.8122
2.2538 2.2538 0.0000
0.0000 0.0000 0.0000
2.2538 0.0000 7.6492
0.0000 2.2538 3.9752
0.0000 0.0000 5.8122
2.2538 0.0000 10.2319
0.0000 2.2538 1.3924
```

=====

Entry 11:
The following is a PBE-GGA calculation of a geometry-optimized BeIr structure, from Alexandria.

**Mass density**: 14.9 g/cm3
**Volume**: 11.18 A^3/atom
**Calculated formation energy**: -437 meV/atom

The structure in POSCAR format:
```
BeIr
1.0
-2.6698 -0.0515 -0.8920
-0.4668 -2.3162 1.5307
-1.5264 3.2045 4.3835
Be Ir
2 2
Cartesian
-0.9368 -0.2715 0.5980
-3.7262 1.1084 4.4243
-1.8121 1.5663 3.1119
-2.8508 -0.7294 1.9103
```

=====

Entry 12:
The following is a PBE-GGA calculation of a geometry-optimized Mg3H2S2O10 structure, from Alexandria.

**Mass density**: 2.7 g/cm3
**Volume**: 10.97 A^3/atom
**Raw total energy**: -5.984 eV per atom

The structure in POSCAR format:
```
Mg3H2S2O10
1.0
1.4497 -5.9996 4.2459
5.9274 -4.3509 1.4353
2.2639 1.4559 4.4608
Mg H S O
3 2 2 10
Cartesian
3.6885 -5.1752 2.8406
4.0956 -1.4475 2.9480
1.8568 -2.2718 4.3533
5.5394 -5.4949 5.6018
4.1015 -3.3997 4.5401
8.4563 -7.7991 8.8973
1.1846 -1.0955 1.2447
6.0867 -5.6164 6.4025
3.5542 -3.2782 3.7394
6.3256 -8.0606 5.3493
3.3058 -6.0108 4.7654
5.7884 -5.0967 3.2072
7.5818 -7.3920 7.7428
3.3153 -0.8340 4.7926
6.3351 -2.8837 5.3765
3.8526 -3.7978 6.9347
2.0591 -1.5025 2.3991
```